No. 1
CsCdInSn2, relaxed, DFT PBE; symmetry = No. 119; N(E_F) = 1.37 states/eV per cell; total magnetization = 0.0 μB per formula unit; E_form = -0.164 eV/atom
1.0
-2.627 2.627 6.033
2.627 -2.627 6.033
2.627 2.627 -6.033
Cs Cd In Sn
1 1 1 2
Cartesian
0.000 0.000 0.000 Cs
0.000 2.627 3.017 Cd
2.627 0.000 3.017 In
0.000 0.000 4.559 Sn
0.000 0.000 7.507 Sn


No. 2
Cs2Tl6CdIn, relaxed, DFT PBE; symmetry = No. 166; N(E_F) = 8.75 states/eV per cell; total magnetization = 0.0 μB per formula unit; E_form = 0.000 eV/atom
1.0
4.041 2.333 14.130
-4.041 2.333 14.130
0.000 -4.666 14.130
Cs Tl Cd In
4 12 2 2
Cartesian
0.000 0.000 6.234 Cs
0.000 0.000 12.506 Cs
0.000 0.000 29.883 Cs
0.000 0.000 36.156 Cs
-1.902 -1.098 18.903 Tl
0.000 -2.821 16.812 Tl
-2.443 1.411 16.812 Tl
-2.443 -1.411 25.578 Tl
0.000 -2.197 23.487 Tl
-1.902 1.098 23.487 Tl
1.902 -1.098 18.903 Tl
0.000 2.197 18.903 Tl
2.443 1.411 16.812 Tl
2.443 -1.411 25.578 Tl
0.000 2.821 25.578 Tl
1.902 1.098 23.487 Tl
0.000 0.000 16.098 Cd
0.000 0.000 26.292 Cd
0.000 0.000 0.000 In
0.000 0.000 21.195 In


No. 3
CsTlCdIn, relaxed, DFT PBE; relative energy among the computed polymorphs = 147 meV/atom; symmetry = No. 216; N(E_F) = 3.15 states/eV per cell; total magnetization = 0.0 μB per formula unit; E_form = 0.084 eV/atom
1.0
0.000 4.105 4.105
4.105 0.000 4.105
4.105 4.105 0.000
Cs Tl Cd In
1 1 1 1
Cartesian
0.000 0.000 0.000 Cs
2.052 2.052 2.052 Tl
6.157 6.157 6.157 Cd
4.105 4.105 4.105 In


No. 4
CsTl2CdIn4, relaxed, DFT PBE; symmetry = No. 166; N(E_F) = 4.92 states/eV per cell; total magnetization = 0.0 μB per formula unit; E_form = -0.018 eV/atom
1.0
2.672 1.543 11.003
-2.672 1.543 11.003
0.000 -3.085 11.003
Cs Tl Cd In
1 2 1 4
Cartesian
0.000 0.000 0.000 Cs
0.000 0.000 7.950 Tl
0.000 0.000 25.060 Tl
0.000 0.000 16.505 Cd
0.000 0.000 4.541 In
0.000 0.000 13.550 In
0.000 0.000 19.460 In
0.000 0.000 28.469 In